DFT (PBE-GGA) results for crystalline Cr2TcPt at its relaxed geometry.

Calculated values
The total energy comes out at -8.916 eV/atom. The energy of formation comes out at -3 meV/atom. As for the space group: Pmm2, No. 25. The volume is 13.54 Å³ per atom.

Lattice parameters (Å, degrees): 2.6871 3.7050 5.4416 90.00 90.00 90.00
Closest atoms and distances in Å follow each position.
Positions (direct):
Cr  0.0000  0.0000  0.0000  6 Cr 2.56-2.69, 4 Tc 2.59, 2 Pt 2.63-2.81
Cr  0.5000  0.5000  0.2123  1 Tc 2.37, 4 Cr 2.56
Tc  0.5000  0.5000  0.7777  5 Cr 2.37-2.59
Pt  0.0000  0.0000  0.4836  6 Cr 2.63-2.81, 2 Pt 2.69, 4 Tc 2.79